VASP calculation (GGA-PBE) on crystalline TeIr2 at its relaxed geometry.

Output
magnetization	0.0017	μB per atom
calculated total energy	-6.246	eV/atom

Lattice parameters (Å, degrees): 5.349 5.349 5.349 60.00 60.00 60.00
Fractional coordinates of all 6 atoms:
Ir (0.625, 0.625, 0.125)
Ir (0.625, 0.125, 0.625)
Ir (0.125, 0.625, 0.625)
Ir (0.625, 0.625, 0.625)
Te (0.000, 0.000, 0.000)
Te (0.250, 0.250, 0.250)



VASP calculation (GGA-PBE) on crystalline PrNdP2Os2S2 at its relaxed geometry.

Output
magnetization	0.0003	μB per atom
calculated total energy	-7.372	eV/atom

Lattice parameters (Å, degrees): 4.176 4.176 9.070 90.00 90.00 90.00
Fractional coordinates of all 8 atoms:
Nd (0.000, 0.000, 0.205)
Os (0.500, 0.000, 0.499)
Os (0.000, 0.500, 0.499)
P (0.500, 0.500, 0.373)
P (0.000, 0.000, 0.626)
Pr (0.500, 0.500, 0.795)
S (0.500, 0.000, 0.002)
S (0.000, 0.500, 0.002)



VASP calculation (GGA-PBE) on crystalline SrCuTcOs at its relaxed geometry.

Output
magnetization	0.0026	μB per atom
calculated total energy	-5.968	eV/atom

Lattice parameters (Å, degrees): 4.588 4.588 4.588 60.00 60.00 60.00
Fractional coordinates of all 4 atoms:
Cu (0.750, 0.750, 0.750)
Os (0.500, 0.500, 0.500)
Sr (0.000, 0.000, 0.000)
Tc (0.250, 0.250, 0.250)



VASP calculation (GGA-PBE) on crystalline BaLiSiPd at its relaxed geometry.

Output
calculated total energy	-4.096	eV/atom

Lattice parameters (Å, degrees): 6.201 4.451 6.927 90.00 90.12 90.00
Fractional coordinates of all 8 atoms:
Ba (0.880, 0.750, 0.229)
Ba (0.120, 0.250, 0.771)
Li (0.394, 0.750, 0.442)
Li (0.606, 0.250, 0.558)
Pd (0.386, 0.750, 0.072)
Pd (0.614, 0.250, 0.928)
Si (0.368, 0.250, 0.229)
Si (0.632, 0.750, 0.771)



VASP calculation (GGA-PBE) on crystalline DyErGa4Au2 at its relaxed geometry.

Output
magnetization	0.0001	μB per atom
calculated total energy	-4.129	eV/atom

Lattice parameters (Å, degrees): 6.647 5.634 5.634 47.04 90.00 90.00
Fractional coordinates of all 8 atoms:
Au (0.000, 0.300, 0.300)
Au (0.500, 0.700, 0.700)
Dy (0.500, 0.408, 0.408)
Er (0.000, 0.592, 0.592)
Ga (0.300, 0.120, 0.120)
Ga (0.700, 0.120, 0.120)
Ga (0.200, 0.880, 0.880)
Ga (0.800, 0.880, 0.880)



VASP calculation (GGA-PBE) on crystalline GdLuSn2Pt4 at its relaxed geometry.

Output
magnetization	0.0005	μB per atom
calculated total energy	-6.182	eV/atom

Lattice parameters (Å, degrees): 4.551 4.551 9.062 90.00 90.00 120.00
Fractional coordinates of all 8 atoms:
Gd (0.000, 0.000, 0.000)
Lu (0.333, 0.667, 0.500)
Pt (0.333, 0.667, 0.164)
Pt (0.000, 0.000, 0.344)
Pt (0.000, 0.000, 0.656)
Pt (0.333, 0.667, 0.836)
Sn (0.667, 0.333, 0.252)
Sn (0.667, 0.333, 0.748)



VASP calculation (GGA-PBE) on crystalline BeTcNO at its relaxed geometry.

Output
magnetization	0.0032	μB per atom
calculated total energy	-7.739	eV/atom

Lattice parameters (Å, degrees): 2.755 4.744 5.679 90.00 90.00 90.00
Fractional coordinates of all 8 atoms:
Be (0.500, 0.012, 0.133)
Be (0.500, 0.512, 0.867)
N (0.000, 0.893, 0.283)
N (0.000, 0.393, 0.717)
O (0.500, 0.362, 0.126)
O (0.500, 0.862, 0.874)
Tc (0.000, 0.486, 0.387)
Tc (0.000, 0.986, 0.613)



VASP calculation (GGA-PBE) on crystalline Ho2Tl at its relaxed geometry.

Output
magnetization	0.0031	μB per atom
calculated total energy	-3.621	eV/atom

Lattice parameters (Å, degrees): 6.291 6.291 6.291 60.00 60.00 60.00
Fractional coordinates of all 6 atoms:
Ho (0.625, 0.625, 0.125)
Ho (0.625, 0.125, 0.625)
Ho (0.125, 0.625, 0.625)
Ho (0.625, 0.625, 0.625)
Tl (0.000, 0.000, 0.000)
Tl (0.250, 0.250, 0.250)



VASP calculation (GGA-PBE) on crystalline GaCoAu2 at its relaxed geometry.

Output
magnetization	0.0019	μB per atom
calculated total energy	-4.039	eV/atom

Lattice parameters (Å, degrees): 4.464 4.464 4.464 60.00 60.00 60.00
Fractional coordinates of all 4 atoms:
Au (0.000, 0.000, 0.000)
Au (0.750, 0.750, 0.750)
Co (0.250, 0.250, 0.250)
Ga (0.500, 0.500, 0.500)



VASP calculation (GGA-PBE) on crystalline Zr3Al3NiPtAu at its relaxed geometry.

Output
magnetization	0.0006	μB per atom
calculated total energy	-6.528	eV/atom

Lattice parameters (Å, degrees): 7.030 7.030 3.721 90.00 90.00 120.00
Fractional coordinates of all 9 atoms:
Al (0.426, 0.094, 0.500)
Al (0.906, 0.332, 0.500)
Al (0.668, 0.574, 0.500)
Au (0.000, 0.000, 0.500)
Ni (0.667, 0.333, 0.000)
Pt (0.333, 0.667, 0.500)
Zr (0.279, 0.343, 0.000)
Zr (0.064, 0.721, 0.000)
Zr (0.657, 0.936, 0.000)



VASP calculation (GGA-PBE) on crystalline Sc4NiSnC2 at its relaxed geometry.

Output
magnetization	0.0010	μB per atom
calculated total energy	-7.173	eV/atom

Lattice parameters (Å, degrees): 3.359 3.359 13.719 90.00 90.00 120.00
Fractional coordinates of all 8 atoms:
C (0.667, 0.333, 0.230)
C (0.667, 0.333, 0.770)
Ni (0.000, 0.000, 0.000)
Sc (0.333, 0.667, 0.139)
Sc (0.000, 0.000, 0.317)
Sc (0.000, 0.000, 0.683)
Sc (0.333, 0.667, 0.861)
Sn (0.333, 0.667, 0.500)



VASP calculation (GGA-PBE) on crystalline Rb2Tl4PdPt at its relaxed geometry.

Output
magnetization	0.0009	μB per atom
calculated total energy	-2.976	eV/atom

Lattice parameters (Å, degrees): 4.552 8.473 6.590 90.00 110.18 90.00
Fractional coordinates of all 8 atoms:
Pd (0.280, 0.000, 0.059)
Pt (0.720, 0.500, 0.940)
Rb (0.446, 0.500, 0.392)
Rb (0.553, 0.000, 0.605)
Tl (0.841, 0.197, 0.182)
Tl (0.841, 0.803, 0.182)
Tl (0.160, 0.303, 0.820)
Tl (0.160, 0.697, 0.820)



- Look up the calculated total energy of the twelfth one.
  -2.976 eV/atom